## AsPRh (PBE)

Data for AsPRh after structural relaxation.

POSCAR file:
```
AsPRh
1.0
2.9952 0.0000 0.0000
1.2936 3.0919 0.0000
0.4032 1.5811 5.4908
As P Rh
1 1 1
Direct
0.0000 0.0000 0.0000
0.0442 0.7137 0.5743
0.3520 0.2212 0.3243
```

The offset from the most stable computed form is 0.439 eV/atom. The formation energy is -0.4 eV per formula unit. The calculated density is 6.8 g/cm³.

## SrCd2Au2 (PBE)

Data for SrCd2Au2 after structural relaxation.

POSCAR file:
```
SrCd2Au2
1.0
7.9713 0.0000 0.0000
0.0000 7.9713 0.0000
0.0000 0.0000 3.8228
Sr Cd Au
2 4 4
Direct
0.0000 0.0000 0.0000
0.5000 0.5000 0.0000
0.1631 0.3369 0.5000
0.3369 0.8369 0.5000
0.6631 0.1631 0.5000
0.8369 0.6631 0.5000
0.1293 0.6293 0.0000
0.3707 0.1293 0.0000
0.6293 0.8707 0.0000
0.8707 0.3707 0.0000
```

The offset from the most stable computed form is 0.182 eV/atom. The formation energy is -1.6 eV per formula unit. The calculated density is 9.7 g/cm³.

What did the second record say?
## SrCd2Au2 (PBE)

Data for SrCd2Au2 after structural relaxation.

POSCAR file:
```
SrCd2Au2
1.0
7.9713 0.0000 0.0000
0.0000 7.9713 0.0000
0.0000 0.0000 3.8228
Sr Cd Au
2 4 4
Direct
0.0000 0.0000 0.0000
0.5000 0.5000 0.0000
0.1631 0.3369 0.5000
0.3369 0.8369 0.5000
0.6631 0.1631 0.5000
0.8369 0.6631 0.5000
0.1293 0.6293 0.0000
0.3707 0.1293 0.0000
0.6293 0.8707 0.0000
0.8707 0.3707 0.0000
```

The offset from the most stable computed form is 0.182 eV/atom. The formation energy is -1.6 eV per formula unit. The calculated density is 9.7 g/cm³.